A plane-wave DFT calculation with PBE-GGA was carried out for an optimized crystal structure of NaTcSbH2.

a = 3.853 Å, b = 3.853 Å, c = 5.626 Å
α = 90.00°, β = 90.00°, γ = 90.00°
Sites, in units of the cell vectors:
Na 0.000 0.000 0.000
Tc 0.000 0.000 0.500
Sb 0.500 0.500 0.000
H 0.000 0.500 0.500
H 0.500 0.000 0.500

Results
Its crystal system is tetragonal. The value obtained for the total energy is -3.5688 eV/atom. As for the space-group type: P4/mmm (123). For the density of states at the Fermi level, the calculation gives 3.26 states/eV/cell.

=====

A plane-wave DFT calculation with PBE-GGA was carried out for an optimized crystal structure of NaAs2F.

a = 3.556 Å, b = 3.556 Å, c = 28.599 Å
α = 90.00°, β = 90.00°, γ = 90.00°
Sites, in units of the cell vectors:
Na 0.000 0.000 0.000
Na 0.000 0.500 0.250
Na 0.500 0.000 0.750
Na 0.500 0.500 0.500
As 0.247 0.750 0.125
As 0.250 0.247 0.875
As 0.250 0.253 0.375
As 0.253 0.750 0.625
As 0.747 0.250 0.625
As 0.750 0.747 0.375
As 0.750 0.753 0.875
As 0.753 0.250 0.125
F 0.000 0.000 0.500
F 0.000 0.500 0.750
F 0.500 0.000 0.250
F 0.500 0.500 0.000

Results
Its crystal system is tetragonal. The value obtained for the total energy is -4.0421 eV/atom. As for the space-group type: I-42d (122). For the excess energy over the best structure of this formula in the dataset, the calculation gives 0.00 eV per formula unit. The value obtained for the uncorrected formation energy is -355 kJ/mol of formula units. For the density of states at the Fermi level, the calculation gives 6.70 states/eV/cell.

=====

A plane-wave DFT calculation with PBE-GGA was carried out for an optimized crystal structure of Nd2Ge2I.

a = 9.891 Å, b = 9.891 Å, c = 9.891 Å
α = 130.31°, β = 55.74°, γ = 156.35°
Sites, in units of the cell vectors:
Nd 0.347 0.000 0.847
Nd 0.347 0.500 0.347
Nd 0.653 0.000 0.153
Nd 0.653 0.500 0.653
Ge 0.202 0.750 0.453
Ge 0.203 0.250 0.953
Ge 0.797 0.750 0.047
Ge 0.798 0.250 0.547
I 0.490 0.240 0.250
I 0.510 0.760 0.750

Results
Its crystal system is orthorhombic. The value obtained for the total energy is -4.9938 eV/atom. As for the space-group type: Imma (74). The value obtained for the uncorrected formation energy is -449 kJ/mol of formula units. For the density of states at the Fermi level, the calculation gives 3.59 states/eV/cell.

=====

A plane-wave DFT calculation with PBE-GGA was carried out for an optimized crystal structure of HoSbPd2.

a = 4.416 Å, b = 4.416 Å, c = 4.081 Å
α = 90.00°, β = 90.00°, γ = 90.00°
Sites, in units of the cell vectors:
Ho 0.000 0.000 0.000
Sb 0.500 0.500 0.000
Pd 0.000 0.500 0.500
Pd 0.500 0.000 0.500

Results
Its crystal system is tetragonal. The value obtained for the total energy is -5.5442 eV/atom. As for the space-group type: P4/mmm (123). For the excess energy over the best structure of this formula in the dataset, the calculation gives 0.36 eV per formula unit. The value obtained for the uncorrected formation energy is -298 kJ/mol of formula units. For the density of states at the Fermi level, the calculation gives 2.11 states/eV/cell.

=====

A plane-wave DFT calculation with PBE-GGA was carried out for an optimized crystal structure of Sr2TcRu.

a = 3.278 Å, b = 3.981 Å, c = 8.807 Å
α = 90.00°, β = 96.14°, γ = 90.00°
Sites, in units of the cell vectors:
Sr 0.000 0.000 0.000
Sr 0.324 0.500 0.578
Tc 0.487 0.500 0.250
Ru 0.842 0.000 0.331

Results
Its crystal system is monoclinic. The value obtained for the total energy is -5.3036 eV/atom. As for the space-group type: Pm (6). For the excess energy over the best structure of this formula in the dataset, the calculation gives 1.08 eV per formula unit. For the density of states at the Fermi level, the calculation gives 4.53 states/eV/cell. The formation energy comes out at 0.45 eV per atom.

=====

A plane-wave DFT calculation with PBE-GGA was carried out for an optimized crystal structure of CsHg11.

a = 10.981 Å, b = 10.981 Å, c = 3.532 Å
α = 90.00°, β = 90.00°, γ = 120.00°
Sites, in units of the cell vectors:
Cs 0.000 0.000 0.000
Hg 0.000 0.500 0.000
Hg 0.183 0.367 0.500
Hg 0.183 0.817 0.500
Hg 0.333 0.667 0.000
Hg 0.367 0.183 0.500
Hg 0.500 0.000 0.000
Hg 0.500 0.500 0.000
Hg 0.633 0.817 0.500
Hg 0.667 0.333 0.000
Hg 0.817 0.183 0.500
Hg 0.817 0.633 0.500

Results
Its crystal system is hexagonal. The value obtained for the total energy is -0.4232 eV/atom. As for the space-group type: P6/mmm (191). For the density of states at the Fermi level, the calculation gives 3.54 states/eV/cell. The formation energy comes out at -0.08 eV per atom.

=====

A plane-wave DFT calculation with PBE-GGA was carried out for an optimized crystal structure of TbTm2Zn2Ge2.

a = 11.189 Å, b = 11.189 Å, c = 11.189 Å
α = 21.18°, β = 21.18°, γ = 21.18°
Sites, in units of the cell vectors:
Tb 0.000 0.000 0.000
Tm 0.125 0.125 0.125
Tm 0.875 0.875 0.875
Zn 0.390 0.390 0.390
Zn 0.610 0.610 0.610
Ge 0.263 0.263 0.263
Ge 0.737 0.737 0.737

Results
Its crystal system is trigonal. The value obtained for the total energy is -4.0482 eV/atom. As for the space-group type: R-3m (166). For the density of states at the Fermi level, the calculation gives 5.18 states/eV/cell. The formation energy comes out at -0.43 eV per atom.

=====

A plane-wave DFT calculation with PBE-GGA was carried out for an optimized crystal structure of CeAlInAg.

a = 7.112 Å, b = 7.112 Å, c = 7.112 Å
α = 90.00°, β = 90.00°, γ = 90.00°
Sites, in units of the cell vectors:
Ce 0.000 0.000 0.000
Ce 0.000 0.500 0.500
Ce 0.500 0.000 0.500
Ce 0.500 0.500 0.000
Al 0.250 0.250 0.250
Al 0.250 0.750 0.750
Al 0.750 0.250 0.750
Al 0.750 0.750 0.250
In 0.000 0.000 0.500
In 0.000 0.500 0.000
In 0.500 0.000 0.000
In 0.500 0.500 0.500
Ag 0.250 0.250 0.750
Ag 0.250 0.750 0.250
Ag 0.750 0.250 0.250
Ag 0.750 0.750 0.750

Results
Its crystal system is cubic. The value obtained for the total energy is -4.0303 eV/atom. As for the space-group type: F-43m (216). For the density of states at the Fermi level, the calculation gives 25.37 states/eV/cell. The formation energy comes out at -0.21 eV per atom.

=====

A plane-wave DFT calculation with PBE-GGA was carried out for an optimized crystal structure of TbDy2ErBi5.

a = 5.370 Å, b = 5.370 Å, c = 11.892 Å
α = 90.00°, β = 90.00°, γ = 90.00°
Sites, in units of the cell vectors:
Tb 0.000 0.000 0.000
Dy 0.500 0.500 0.267
Dy 0.500 0.500 0.733
Er 0.000 0.000 0.500
Bi 0.000 0.000 0.247
Bi 0.000 0.000 0.753
Bi 0.000 0.500 0.500
Bi 0.500 0.000 0.500
Bi 0.500 0.500 0.000

Results
Its crystal system is tetragonal. The value obtained for the total energy is -4.1894 eV/atom. As for the space-group type: P4/mmm (123). For the density of states at the Fermi level, the calculation gives 5.82 states/eV/cell. The formation energy comes out at 0.01 eV per atom.